# 1
# CaLa2Au, optimized geometry, DFT PBE
data_CaLa2Au
_chemical_formula_sum 'Ca4 La8 Au4'
_symmetry_space_group_name_H-M 'C m c m'
_symmetry_Int_Tables_number 63
_symmetry_space_group_name_Hall '-C 2c 2'
_cell_length_a 4.852
_cell_length_b 12.273
_cell_length_c 8.785
_cell_angle_alpha 90.00
_cell_angle_beta 90.00
_cell_angle_gamma 90.00
loop_
_atom_site_label
_atom_site_fract_x
_atom_site_fract_y
_atom_site_fract_z
Ca1 0.000 0.054 0.250
La1 0.000 0.358 0.043
Au1 0.000 0.220 0.750
# energy relative to the elements	-0.379	eV/atom
# raw total energy	-4.162	eV/atom
# D(E_F)	16.186	states/eV per cell
# V	32.70	Å³/atom

# 2
# MgAl2Os, optimized geometry, DFT PBE
data_MgAl2Os
_chemical_formula_sum 'Mg4 Al8 Os4'
_symmetry_space_group_name_H-M 'I -4 2 d'
_symmetry_Int_Tables_number 122
_symmetry_space_group_name_Hall 'I -4 2bw'
_cell_length_a 3.945
_cell_length_b 3.945
_cell_length_c 18.158
_cell_angle_alpha 90.00
_cell_angle_beta 90.00
_cell_angle_gamma 90.00
loop_
_atom_site_label
_atom_site_fract_x
_atom_site_fract_y
_atom_site_fract_z
Mg1 0.000 0.000 0.000
Al1 0.218 0.250 0.625
Os1 0.000 0.000 0.500
# energy relative to the elements	0.402	eV/atom
# raw total energy	-4.675	eV/atom
# D(E_F)	19.519	states/eV per cell
# V	17.66	Å³/atom

# 3
# Pa6ReRh5, optimized geometry, DFT PBE
data_Pa6ReRh5
_chemical_formula_sum 'Pa12 Re2 Rh10'
_symmetry_space_group_name_H-M 'I m m m'
_symmetry_Int_Tables_number 71
_symmetry_space_group_name_Hall '-I 2 2'
_cell_length_a 4.601
_cell_length_b 6.751
_cell_length_c 15.938
_cell_angle_alpha 90.00
_cell_angle_beta 90.00
_cell_angle_gamma 90.00
loop_
_atom_site_label
_atom_site_fract_x
_atom_site_fract_y
_atom_site_fract_z
Pa1 0.000 0.244 0.156
Pa2 0.000 0.252 0.500
Re1 0.000 0.000 0.000
Rh1 0.000 0.000 0.319
Rh2 0.000 0.500 0.000
Rh3 0.000 0.500 0.304
# energy relative to the elements	-0.500	eV/atom
# raw total energy	-9.349	eV/atom
# D(E_F)	34.571	states/eV per cell
# V	20.63	Å³/atom

# 4
# RbGaO2, optimized geometry, DFT PBE
data_RbGaO2
_chemical_formula_sum 'Rb1 Ga1 O2'
_symmetry_space_group_name_H-M 'P 4/m m m'
_symmetry_Int_Tables_number 123
_symmetry_space_group_name_Hall '-P 4 2'
_cell_length_a 4.421
_cell_length_b 4.421
_cell_length_c 3.108
_cell_angle_alpha 90.00
_cell_angle_beta 90.00
_cell_angle_gamma 90.00
loop_
_atom_site_label
_atom_site_fract_x
_atom_site_fract_y
_atom_site_fract_z
Rb1 0.000 0.000 0.000
Ga1 0.500 0.500 0.000
O1 0.000 0.500 0.500
# raw total energy	-3.643	eV/atom
# energy relative to the elements, uncorrected	-0.166	eV/atom
# D(E_F)	4.310	states/eV per cell
# V	15.19	Å³/atom